DFT (GGA-PBE) results for a relaxed structure of NaHS2Cl.

Results
Fermi-level density of states   3.632 states/eV/f.u.
Energy above the most stable polymorph in this dataset   0.000 eV per atom

Geometry as CIF:
```
data_NaHS2Cl
_chemical_formula_sum 'Na1 H1 S2 Cl1'
_symmetry_space_group_name_H-M 'P 4/m m m'
_symmetry_Int_Tables_number 123
_symmetry_space_group_name_Hall '-P 4 2'
_cell_length_a 3.6873
_cell_length_b 3.6873
_cell_length_c 7.8692
_cell_angle_alpha 90.00
_cell_angle_beta 90.00
_cell_angle_gamma 90.00
loop_
_atom_site_label
_atom_site_type_symbol
_atom_site_fract_x
_atom_site_fract_y
_atom_site_fract_z
Na1 Na 0.0000 0.0000 0.0000
H1 H 0.5000 0.5000 0.5000
S1 S 0.0000 0.5000 0.5000
Cl1 Cl 0.5000 0.5000 0.0000
```

***

DFT (GGA-PBE) results for a relaxed structure of TiNi14Mo.

Results
Fermi-level density of states   27.578 states/eV/f.u.
Formation enthalpy at 0 K   -121 meV/atom

Geometry as CIF:
```
data_TiNi14Mo
_chemical_formula_sum 'Ti1 Ni14 Mo1'
_symmetry_space_group_name_H-M 'P 4/m m m'
_symmetry_Int_Tables_number 123
_symmetry_space_group_name_Hall '-P 4 2'
_cell_length_a 5.0606
_cell_length_b 5.0606
_cell_length_c 7.1031
_cell_angle_alpha 90.00
_cell_angle_beta 90.00
_cell_angle_gamma 90.00
loop_
_atom_site_label
_atom_site_type_symbol
_atom_site_fract_x
_atom_site_fract_y
_atom_site_fract_z
Ti1 Ti 0.0000 0.0000 0.0000
Ni1 Ni 0.0000 0.0000 0.5000
Ni2 Ni 0.0000 0.5000 0.0000
Ni3 Ni 0.0000 0.5000 0.5000
Ni4 Ni 0.2503 0.2503 0.2540
Ni5 Ni 0.5000 0.5000 0.5000
Mo1 Mo 0.5000 0.5000 0.0000
```

***

DFT (GGA-PBE) results for a relaxed structure of Sr12Ge3N5.

Results
Fermi-level density of states   18.586 states/eV/f.u.
Formation energy without anion corrections   -0.44 eV per atom

Geometry as CIF:
```
data_Sr12Ge3N5
_chemical_formula_sum 'Sr96 Ge24 N40'
_symmetry_space_group_name_H-M 'I a -3 d'
_symmetry_Int_Tables_number 230
_symmetry_space_group_name_Hall '-I 4bd 2c 3'
_cell_length_a 16.7960
_cell_length_b 16.7960
_cell_length_c 16.7960
_cell_angle_alpha 90.00
_cell_angle_beta 90.00
_cell_angle_gamma 90.00
loop_
_atom_site_label
_atom_site_type_symbol
_atom_site_fract_x
_atom_site_fract_y
_atom_site_fract_z
Sr1 Sr 0.0323 0.0507 0.6493
Ge1 Ge 0.0000 0.2500 0.1250
N1 N 0.0000 0.0000 0.0000
N2 N 0.0000 0.2500 0.3750
```

***

DFT (GGA-PBE) results for a relaxed structure of V4PbSe8.

Results
Fermi-level density of states   4.425 states/eV/f.u.
Formation energy without anion corrections   -0.68 eV per atom

Geometry as CIF:
```
data_V4PbSe8
_chemical_formula_sum 'V8 Pb2 Se16'
_symmetry_space_group_name_H-M 'C 1 2/m 1'
_symmetry_Int_Tables_number 12
_cell_length_a 12.2571
_cell_length_b 7.1156
_cell_length_c 9.3218
_cell_angle_alpha 90.00
_cell_angle_beta 128.34
_cell_angle_gamma 90.00
loop_
_symmetry_equiv_pos_as_xyz
'x,y,z'
'-x,-y,-z'
'-x,y,-z'
'x,-y,z'
'x+1/2,y+1/2,z'
'-x+1/2,-y+1/2,-z'
'-x+1/2,y+1/2,-z'
'x+1/2,-y+1/2,z'
loop_
_atom_site_label
_atom_site_type_symbol
_atom_site_fract_x
_atom_site_fract_y
_atom_site_fract_z
V1 V 0.0000 0.2156 0.0000
V2 V 0.2244 0.0000 0.9963
Pb1 Pb 0.0000 0.5000 0.5000
Se1 Se 0.0093 0.5000 0.8340
Se2 Se 0.0312 0.0000 0.2325
Se3 Se 0.2377 0.2434 0.7962
```

***

DFT (GGA-PBE) results for a relaxed structure of Te3Mo.

Results
Fermi-level density of states   2.701 states/eV/f.u.
Formation energy without anion corrections   0.11 eV per atom

Geometry as CIF:
```
data_Te3Mo
_chemical_formula_sum 'Te12 Mo4'
_symmetry_space_group_name_H-M 'P n m a'
_symmetry_Int_Tables_number 62
_cell_length_a 6.8243
_cell_length_b 8.7614
_cell_length_c 6.6582
_cell_angle_alpha 90.00
_cell_angle_beta 90.00
_cell_angle_gamma 90.00
loop_
_symmetry_equiv_pos_as_xyz
'x,y,z'
'-x,-y,-z'
'-x+1/2,-y,z+1/2'
'x+1/2,y,-z+1/2'
'x+1/2,-y+1/2,-z+1/2'
'-x+1/2,y+1/2,z+1/2'
'-x,y+1/2,-z'
'x,-y+1/2,z'
loop_
_atom_site_label
_atom_site_type_symbol
_atom_site_fract_x
_atom_site_fract_y
_atom_site_fract_z
Te1 Te 0.0108 0.2500 0.1342
Te2 Te 0.1830 0.5736 0.3619
Mo1 Mo 0.1456 0.2500 0.5155
```

***

DFT (GGA-PBE) results for a relaxed structure of Rb3I2.

Results
Fermi-level density of states   2.148 states/eV/f.u.
Formation energy without anion corrections   -1.11 eV per atom

Geometry as CIF:
```
data_Rb3I2
_chemical_formula_sum 'Rb18 I12'
_symmetry_space_group_name_H-M 'R -3 c'
_symmetry_Int_Tables_number 167
_symmetry_space_group_name_Hall '-R 3 2"c'
_cell_length_a 9.0441
_cell_length_b 9.0441
_cell_length_c 26.9446
_cell_angle_alpha 90.00
_cell_angle_beta 90.00
_cell_angle_gamma 120.00
loop_
_atom_site_label
_atom_site_type_symbol
_atom_site_fract_x
_atom_site_fract_y
_atom_site_fract_z
Rb1 Rb 0.0000 0.3267 0.2500
I1 I 0.0000 0.0000 0.1629
```

***

DFT (GGA-PBE) results for a relaxed structure of Tb2In3Te6Pb.

Results
Fermi-level density of states   4.362 states/eV/f.u.
Formation energy without anion corrections   -0.75 eV per atom

Geometry as CIF:
```
data_Tb2In3Te6Pb
_chemical_formula_sum 'Tb4 In6 Te12 Pb2'
_symmetry_space_group_name_H-M 'C 1 2/m 1'
_symmetry_Int_Tables_number 12
_cell_length_a 20.2625
_cell_length_b 4.4407
_cell_length_c 9.3967
_cell_angle_alpha 90.00
_cell_angle_beta 105.59
_cell_angle_gamma 90.00
loop_
_symmetry_equiv_pos_as_xyz
'x,y,z'
'-x,-y,-z'
'-x,y,-z'
'x,-y,z'
'x+1/2,y+1/2,z'
'-x+1/2,-y+1/2,-z'
'-x+1/2,y+1/2,-z'
'x+1/2,-y+1/2,z'
loop_
_atom_site_label
_atom_site_type_symbol
_atom_site_fract_x
_atom_site_fract_y
_atom_site_fract_z
Tb1 Tb 0.1691 0.0000 0.3343
In1 In 0.0000 0.5000 0.5000
In2 In 0.1649 0.0000 0.8338
Te1 Te 0.0102 0.0000 0.2616
Te2 Te 0.1678 0.5000 0.1040
Te3 Te 0.1702 0.5000 0.5684
Pb1 Pb 0.0000 0.5000 0.0000
```

***

DFT (GGA-PBE) results for a relaxed structure of Rb5CdI8.

Results
Fermi-level density of states   16.201 states/eV/f.u.
Formation energy without anion corrections   -1.10 eV per atom

Geometry as CIF:
```
data_Rb5CdI8
_chemical_formula_sum 'Rb10 Cd2 I16'
_symmetry_space_group_name_H-M 'I -4'
_symmetry_Int_Tables_number 82
_cell_length_a 10.7517
_cell_length_b 10.7517
_cell_length_c 12.0791
_cell_angle_alpha 90.00
_cell_angle_beta 90.00
_cell_angle_gamma 90.00
loop_
_symmetry_equiv_pos_as_xyz
'x,y,z'
'y,-x,-z'
'-x,-y,z'
'-y,x,-z'
'x+1/2,y+1/2,z+1/2'
'y+1/2,-x+1/2,-z+1/2'
'-x+1/2,-y+1/2,z+1/2'
'-y+1/2,x+1/2,-z+1/2'
loop_
_atom_site_label
_atom_site_type_symbol
_atom_site_fract_x
_atom_site_fract_y
_atom_site_fract_z
Rb1 Rb 0.0000 0.0000 0.0000
Rb2 Rb 0.1373 0.2644 0.6181
Cd1 Cd 0.0000 0.5000 0.2500
I1 I 0.0562 0.2439 0.3074
I2 I 0.0954 0.3160 0.9212
```

***

DFT (GGA-PBE) results for a relaxed structure of Ho2SiBIr6.

Results
Fermi-level density of states   4.642 states/eV/f.u.
Formation energy without anion corrections   -0.51 eV per atom

Geometry as CIF:
```
data_Ho2SiBIr6
_chemical_formula_sum 'Ho8 Si4 B4 Ir24'
_symmetry_space_group_name_H-M 'F m -3 m'
_symmetry_Int_Tables_number 225
_symmetry_space_group_name_Hall '-F 4 2 3'
_cell_length_a 8.7084
_cell_length_b 8.7084
_cell_length_c 8.7084
_cell_angle_alpha 90.00
_cell_angle_beta 90.00
_cell_angle_gamma 90.00
loop_
_atom_site_label
_atom_site_type_symbol
_atom_site_fract_x
_atom_site_fract_y
_atom_site_fract_z
Ho1 Ho 0.2500 0.2500 0.2500
Si1 Si 0.0000 0.0000 0.0000
B1 B 0.0000 0.0000 0.5000
Ir1 Ir 0.0000 0.0000 0.2616
```

***

DFT (GGA-PBE) results for a relaxed structure of PrDyMg3.

Results
Fermi-level density of states   3.182 states/eV/f.u.
Formation enthalpy at 0 K   349 meV/atom

Geometry as CIF:
```
data_PrDyMg3
_chemical_formula_sum 'Pr6 Dy6 Mg18'
_symmetry_space_group_name_H-M 'R -3'
_symmetry_Int_Tables_number 148
_symmetry_space_group_name_Hall '-R 3'
_cell_length_a 7.8782
_cell_length_b 7.8782
_cell_length_c 17.0443
_cell_angle_alpha 90.00
_cell_angle_beta 90.00
_cell_angle_gamma 120.00
loop_
_atom_site_label
_atom_site_type_symbol
_atom_site_fract_x
_atom_site_fract_y
_atom_site_fract_z
Pr1 Pr 0.0000 0.0000 0.0920
Dy1 Dy 0.0000 0.0000 0.4040
Mg1 Mg 0.0176 0.2339 0.2485
```

***

DFT (GGA-PBE) results for a relaxed structure of TmTh3Hg7.

Results
Fermi-level density of states   7.190 states/eV/f.u.
Formation enthalpy at 0 K   -180 meV/atom

Geometry as CIF:
```
data_TmTh3Hg7
_chemical_formula_sum 'Tm4 Th12 Hg28'
_symmetry_space_group_name_H-M 'C m c m'
_symmetry_Int_Tables_number 63
_symmetry_space_group_name_Hall '-C 2c 2'
_cell_length_a 3.5019
_cell_length_b 22.1274
_cell_length_c 15.1944
_cell_angle_alpha 90.00
_cell_angle_beta 90.00
_cell_angle_gamma 90.00
loop_
_atom_site_label
_atom_site_type_symbol
_atom_site_fract_x
_atom_site_fract_y
_atom_site_fract_z
Tm1 Tm 0.0000 0.0292 0.2500
Th1 Th 0.0000 0.1154 0.5364
Th2 Th 0.0000 0.2470 0.2500
Hg1 Hg 0.0000 0.2542 0.5764
Hg2 Hg 0.0000 0.3719 0.6532
Hg3 Hg 0.0000 0.3937 0.2500
Hg4 Hg 0.0000 0.4982 0.5937
```

***

DFT (GGA-PBE) results for a relaxed structure of CeTmIrO6.

Results
Fermi-level density of states   5.299 states/eV/f.u.
Formation energy without anion corrections   -2.33 eV per atom

Geometry as CIF:
```
data_CeTmIrO6
_chemical_formula_sum 'Ce2 Tm2 Ir2 O12'
_symmetry_space_group_name_H-M 'P -3 1 c'
_symmetry_Int_Tables_number 163
_symmetry_space_group_name_Hall '-P 3 2c'
_cell_length_a 5.4246
_cell_length_b 5.4246
_cell_length_c 9.7633
_cell_angle_alpha 90.00
_cell_angle_beta 90.00
_cell_angle_gamma 120.00
loop_
_atom_site_label
_atom_site_type_symbol
_atom_site_fract_x
_atom_site_fract_y
_atom_site_fract_z
Ce1 Ce 0.0000 0.0000 0.0000
Tm1 Tm 0.3333 0.6667 0.2500
Ir1 Ir 0.3333 0.6667 0.7500
O1 O 0.0341 0.3625 0.6346
```

***

DFT (GGA-PBE) results for a relaxed structure of Zr6CoAg.

Results
Fermi-level density of states   7.243 states/eV/f.u.
Formation enthalpy at 0 K   -25 meV/atom

Geometry as CIF:
```
data_Zr6CoAg
_chemical_formula_sum 'Zr6 Co1 Ag1'
_symmetry_space_group_name_H-M 'P -1'
_symmetry_Int_Tables_number 2
_cell_length_a 5.5199
_cell_length_b 5.5200
_cell_length_c 5.5200
_cell_angle_alpha 94.92
_cell_angle_beta 94.90
_cell_angle_gamma 95.00
loop_
_symmetry_equiv_pos_as_xyz
'x,y,z'
'-x,-y,-z'
loop_
_atom_site_label
_atom_site_type_symbol
_atom_site_fract_x
_atom_site_fract_y
_atom_site_fract_z
Zr1 Zr 0.0250 0.2648 0.0635
Zr2 Zr 0.2355 0.9362 0.4753
Zr3 Zr 0.4367 0.4752 0.7351
Co1 Co 0.0000 0.5000 0.5000
Ag1 Ag 0.5000 0.0000 0.0000
```

***

DFT (GGA-PBE) results for a relaxed structure of NbH3Au.

Results
Fermi-level density of states   2.991 states/eV/f.u.
Energy above the most stable polymorph in this dataset   0.000 eV per atom

Geometry as CIF:
```
data_NbH3Au
_chemical_formula_sum 'Nb1 H3 Au1'
_symmetry_space_group_name_H-M 'P m -3 m'
_symmetry_Int_Tables_number 221
_symmetry_space_group_name_Hall '-P 4 2 3'
_cell_length_a 3.6548
_cell_length_b 3.6548
_cell_length_c 3.6548
_cell_angle_alpha 90.00
_cell_angle_beta 90.00
_cell_angle_gamma 90.00
loop_
_atom_site_label
_atom_site_type_symbol
_atom_site_fract_x
_atom_site_fract_y
_atom_site_fract_z
Nb1 Nb 0.0000 0.0000 0.0000
H1 H 0.0000 0.0000 0.5000
Au1 Au 0.5000 0.5000 0.5000
```

***

DFT (GGA-PBE) results for a relaxed structure of Sm2ZnRh3.

Results
Fermi-level density of states   3.701 states/eV/f.u.
Formation enthalpy at 0 K   -677 meV/atom

Geometry as CIF:
```
data_Sm2ZnRh3
_chemical_formula_sum 'Sm4 Zn2 Rh6'
_symmetry_space_group_name_H-M 'P 63/m m c'
_symmetry_Int_Tables_number 194
_symmetry_space_group_name_Hall '-P 6c 2c'
_cell_length_a 5.5939
_cell_length_b 5.5939
_cell_length_c 8.2102
_cell_angle_alpha 90.00
_cell_angle_beta 90.00
_cell_angle_gamma 120.00
loop_
_atom_site_label
_atom_site_type_symbol
_atom_site_fract_x
_atom_site_fract_y
_atom_site_fract_z
Sm1 Sm 0.3333 0.6667 0.0600
Zn1 Zn 0.0000 0.0000 0.0000
Rh1 Rh 0.1671 0.3342 0.7500
```